# 1
K2ZnCoS | GGA-PBE | relaxed

Calculated values
Uncorrected formation energy (meV/atom): 417

extended XYZ file:
```
5
Lattice="-1.048 5.116 -2.680 -1.234 -2.260 -3.831 -5.558 -0.153 1.881" Properties=species:S:1:pos:R:3 pbc="T T T"
Co 0.000 0.000 0.000
K -0.524 2.558 -1.340
K -2.779 -0.077 0.940
Zn -0.617 -1.130 -1.916
S -3.920 1.351 -2.315
```



# 2
K4Zr3CoS8 | GGA-PBE | relaxed

Calculated values
Uncorrected formation energy (meV/atom): -1292

extended XYZ file:
```
16
Lattice="7.538 0.000 0.000 0.000 8.522 0.675 -3.769 -3.766 5.341" Properties=species:S:1:pos:R:3 pbc="T T T"
K 3.769 0.000 0.000
K 1.885 -1.883 2.670
K -1.885 -1.883 2.670
K 0.000 0.000 0.000
S 1.866 2.480 0.402
S 3.769 4.215 2.970
S 0.000 0.540 3.046
S 3.769 0.578 3.098
S -1.903 2.275 5.614
S 0.000 4.177 2.917
S 1.903 2.275 5.614
S 5.672 2.480 0.402
Zr -1.885 2.378 3.008
Zr 3.769 4.261 0.338
Zr 1.885 2.378 3.008
Co 0.000 4.261 0.338
```



# 3
KCo3Sb | GGA-PBE | relaxed

Calculated values
Excess energy over the best structure of this formula in the dataset (eV/atom): 0.000
Uncorrected formation energy (meV/atom): 955

extended XYZ file:
```
5
Lattice="-3.521 -0.991 3.259 -0.493 -4.489 -1.898 3.370 -1.693 3.127" Properties=species:S:1:pos:R:3 pbc="T T T"
Co 1.685 -0.846 1.563
Co -0.247 -2.245 -0.949
Co -1.761 -0.496 1.629
Sb 0.000 0.000 0.000
K -0.322 -3.587 2.244
```



# 4
KCo3Sb | GGA-PBE | relaxed

Calculated values
Excess energy over the best structure of this formula in the dataset (eV/atom): 1.199
Uncorrected formation energy (meV/atom): 2154

extended XYZ file:
```
5
Lattice="4.543 0.000 0.000 0.000 4.543 0.000 0.000 0.000 4.543" Properties=species:S:1:pos:R:3 pbc="T T T"
Sb 2.271 2.271 2.271
Co 2.271 0.000 0.000
Co 0.000 2.271 0.000
Co 0.000 0.000 2.271
K 0.000 0.000 0.000
```



# 5
K4CoSb | GGA-PBE | relaxed

Calculated values
Uncorrected formation energy (meV/atom): 705

extended XYZ file:
```
6
Lattice="0.000 4.845 4.845 4.845 0.000 4.845 4.845 4.845 0.000" Properties=species:S:1:pos:R:3 pbc="T T T"
K 3.642 3.642 3.642
K 6.048 3.642 6.048
K 6.048 6.048 3.642
K 3.642 6.048 6.048
Co 0.000 0.000 0.000
Sb 7.268 7.268 7.268
```



# 6
KCoSb | GGA-PBE | relaxed

Calculated values
Uncorrected formation energy (meV/atom): 1351

extended XYZ file:
```
3
Lattice="-1.464 0.172 -4.950 3.106 -1.870 -3.678 -1.258 -4.356 -2.474" Properties=species:S:1:pos:R:3 pbc="T T T"
K 0.288 -4.540 -8.326
Co 0.192 -3.027 -5.551
Sb 0.000 0.000 0.000
```



# 7
KCoSb3 | GGA-PBE | relaxed

Calculated values
Uncorrected formation energy (meV/atom): 122

extended XYZ file:
```
5
Lattice="-4.027 2.109 2.405 -3.192 -2.396 -3.243 -0.209 -4.032 3.185" Properties=species:S:1:pos:R:3 pbc="T T T"
Sb -2.013 1.055 1.203
Sb -1.596 -1.198 -1.622
Sb -0.105 -2.016 1.593
Co 0.000 0.000 0.000
K -3.714 -2.160 1.174
```



# 8
K3CoSb | GGA-PBE | relaxed

Calculated values
Excess energy over the best structure of this formula in the dataset (eV/atom): 0.000
Uncorrected formation energy (meV/atom): 618

extended XYZ file:
```
5
Lattice="6.712 0.000 0.000 0.000 6.712 0.000 0.000 0.000 6.712" Properties=species:S:1:pos:R:3 pbc="T T T"
K 3.356 0.000 0.000
K 0.000 0.000 3.356
K 0.000 3.356 0.000
Sb 0.000 0.000 0.000
Co 3.356 3.356 3.356
```



# 9
KCo4Sb | GGA-PBE | relaxed

Calculated values
Uncorrected formation energy (meV/atom): 569

extended XYZ file:
```
6
Lattice="2.959 -3.664 -1.997 -2.024 -4.532 -1.235 -0.522 -1.313 -4.916" Properties=species:S:1:pos:R:3 pbc="T T T"
Sb 0.000 0.000 0.000
Co -0.868 -5.842 -3.669
Co 1.647 -5.404 -4.054
Co -0.110 -4.217 -5.527
Co 0.154 -3.555 -3.046
K 0.309 -7.132 -6.111
```



# 10
KCoSb | GGA-PBE | relaxed

Calculated values
Uncorrected formation energy (meV/atom): 136

extended XYZ file:
```
3
Lattice="-6.195 1.503 2.175 -6.361 -1.555 -1.578 6.363 -1.758 1.337" Properties=species:S:1:pos:R:3 pbc="T T T"
K -4.225 -0.017 0.201
Co -0.570 -0.002 0.027
Sb -7.761 -0.032 0.369
```



# 11
KCoSb | GGA-PBE | relaxed

Calculated values
Uncorrected formation energy (meV/atom): 504

extended XYZ file:
```
3
Lattice="4.801 0.000 0.000 2.401 4.158 0.000 2.401 1.386 3.920" Properties=species:S:1:pos:R:3 pbc="T T T"
Co 7.202 4.158 2.940
Sb 4.801 2.772 1.960
K 0.000 0.000 0.000
```



# 12
K2CoSb2 | GGA-PBE | relaxed

Calculated values
Uncorrected formation energy (meV/atom): -128

extended XYZ file:
```
10
Lattice="-2.313 4.591 4.517 -3.948 -4.803 2.860 4.402 -1.418 3.696" Properties=species:S:1:pos:R:3 pbc="T T T"
Sb -4.140 -2.474 3.982
Sb -2.121 2.263 3.394
Sb -1.722 -0.955 1.685
Sb -4.539 0.744 5.692
K -1.025 1.517 6.545
K -2.626 -1.624 7.247
K 0.768 -0.005 3.826
K -0.834 -3.146 4.528
Co -3.131 -0.106 3.688
Co 0.000 0.000 0.000
```



# 13
KCoSb2Te | GGA-PBE | relaxed

Calculated values
Excess energy over the best structure of this formula in the dataset (eV/atom): 1.781
Uncorrected formation energy (meV/atom): 1759

extended XYZ file:
```
5
Lattice="-3.801 -0.235 4.387 1.416 -5.557 0.930 4.191 1.691 3.721" Properties=species:S:1:pos:R:3 pbc="T T T"
Sb -1.900 -0.117 2.194
Sb 0.708 -2.778 0.465
K 0.000 0.000 0.000
Co 0.903 -2.051 4.519
Te 2.095 0.845 1.861
```



# 14
KCoSbTe2 | GGA-PBE | relaxed

Calculated values
Excess energy over the best structure of this formula in the dataset (eV/atom): 0.000
Uncorrected formation energy (meV/atom): -58

extended XYZ file:
```
5
Lattice="5.481 0.000 0.000 0.000 5.481 0.000 0.000 0.000 4.771" Properties=species:S:1:pos:R:3 pbc="T T T"
K 2.740 2.740 2.386
Sb 0.000 0.000 2.386
Te 2.740 0.000 0.000
Te 0.000 2.740 0.000
Co 0.000 0.000 0.000
```



# 15
KCoSbTe2 | GGA-PBE | relaxed

Calculated values
Excess energy over the best structure of this formula in the dataset (eV/atom): 1.651
Uncorrected formation energy (meV/atom): 1592

extended XYZ file:
```
5
Lattice="5.939 0.000 0.000 0.000 5.939 0.000 0.000 0.000 5.804" Properties=species:S:1:pos:R:3 pbc="T T T"
K 0.000 0.000 0.000
Sb 0.000 0.000 2.902
Co 2.969 2.969 2.902
Te 2.969 0.000 0.000
Te 0.000 2.969 0.000
```



# 16
KCoSb2Te | GGA-PBE | relaxed

Calculated values
Excess energy over the best structure of this formula in the dataset (eV/atom): 0.000
Uncorrected formation energy (meV/atom): -22

extended XYZ file:
```
5
Lattice="4.905 0.000 0.000 0.000 4.905 0.000 0.000 0.000 5.913" Properties=species:S:1:pos:R:3 pbc="T T T"
Co 0.000 0.000 0.000
K 2.452 2.452 2.956
Te 0.000 0.000 2.956
Sb 2.452 0.000 0.000
Sb 0.000 2.452 0.000
```



# 17
KSc4Co | GGA-PBE | relaxed

Calculated values
Final energy (eV for the cell shown): -28.21

extended XYZ file:
```
6
Lattice="-0.527 3.792 4.718 -5.171 0.186 3.185 -0.161 -2.199 5.662" Properties=species:S:1:pos:R:3 pbc="T T T"
Co -4.394 1.335 10.174
Sc -2.216 0.673 5.131
Sc -2.295 -0.398 7.888
Sc -2.473 2.520 7.428
Sc -4.735 0.764 6.682
K 0.000 0.000 0.000
```



# 18
KSc2Co | GGA-PBE | relaxed

Calculated values
Excess energy over the best structure of this formula in the dataset (eV/atom): 0.475

extended XYZ file:
```
8
Lattice="-5.392 -1.480 -5.025 -2.877 -5.190 4.616 -7.218 0.351 2.018" Properties=species:S:1:pos:R:3 pbc="T T T"
Co 0.000 0.000 0.000
Co -8.373 -2.232 -1.606
Sc -8.323 -4.451 -1.009
Sc -7.796 -0.942 0.207
Sc -6.881 -1.855 -3.314
Sc -10.491 -1.679 -2.308
K -4.135 -3.335 -0.205
K -7.115 -4.087 3.215
```



# 19
KScCo2 | GGA-PBE | relaxed

Calculated values
Excess energy over the best structure of this formula in the dataset (eV/atom): 0.242

extended XYZ file:
```
4
Lattice="4.818 -0.144 0.368 3.776 2.997 0.368 1.497 0.497 7.051" Properties=species:S:1:pos:R:3 pbc="T T T"
Co 1.350 0.448 5.981
Co 5.192 1.723 4.964
Sc 7.568 2.512 5.841
K 2.523 0.837 1.947
```



# 20
KScCo2 | GGA-PBE | relaxed

Calculated values
Excess energy over the best structure of this formula in the dataset (eV/atom): 0.697

extended XYZ file:
```
4
Lattice="5.435 0.015 -0.003 1.915 5.087 0.003 -2.813 -3.793 2.691" Properties=species:S:1:pos:R:3 pbc="T T T"
Co 3.482 2.417 0.000
Co 0.193 0.134 0.000
K 3.149 -0.614 1.344
Sc 1.389 1.922 1.347
```



# 21
KScCo2 | GGA-PBE | relaxed

Calculated values
Excess energy over the best structure of this formula in the dataset (eV/atom): 0.000

extended XYZ file:
```
4
Lattice="-1.071 3.632 -0.745 -0.894 1.047 -3.605 -8.165 -0.412 -0.132" Properties=species:S:1:pos:R:3 pbc="T T T"
K -4.472 2.301 -2.356
Co -1.315 1.384 -1.332
Co -2.628 4.502 -4.232
Sc -8.745 2.892 -3.154
```



# 22
KSc2Co | GGA-PBE | relaxed

Calculated values
Excess energy over the best structure of this formula in the dataset (eV/atom): 0.024

extended XYZ file:
```
4
Lattice="3.776 -0.013 0.064 1.902 3.261 0.064 1.683 0.963 9.418" Properties=species:S:1:pos:R:3 pbc="T T T"
K 1.840 1.053 2.387
Co 5.521 3.159 7.160
Sc 3.651 2.089 5.878
Sc 1.713 0.980 8.314
```



# 23
KScCo4 | GGA-PBE | relaxed

Calculated values
Final energy (eV for the cell shown): -33.32

extended XYZ file:
```
6
Lattice="4.280 2.476 1.029 0.646 2.154 4.522 3.318 -1.945 3.273" Properties=species:S:1:pos:R:3 pbc="T T T"
Sc 0.000 0.000 0.000
Co 5.244 2.256 3.817
Co 3.405 2.093 5.584
Co 4.758 0.018 4.952
Co 3.079 1.003 3.296
K 6.182 2.014 6.618
```



# 24
KScCo2 | GGA-PBE | relaxed

Calculated values
Excess energy over the best structure of this formula in the dataset (eV/atom): 0.682

extended XYZ file:
```
4
Lattice="-4.170 -1.629 1.223 -0.752 -1.415 4.355 -2.730 2.488 2.810" Properties=species:S:1:pos:R:3 pbc="T T T"
Co 0.000 0.000 0.000
Co -1.913 -0.139 2.097
K -3.826 -0.278 4.194
Sc -5.740 -0.417 6.291
```



# 25
KSc2Co | GGA-PBE | relaxed

Calculated values
Excess energy over the best structure of this formula in the dataset (eV/atom): 0.321

extended XYZ file:
```
4
Lattice="6.065 0.000 0.000 1.990 5.729 0.000 -2.964 -4.359 2.998" Properties=species:S:1:pos:R:3 pbc="T T T"
Co 1.527 2.117 1.499
Sc 3.407 2.423 0.000
Sc 0.620 0.441 0.000
K 3.564 -0.748 1.499
```



# 26
KSc2Co2 | GGA-PBE | relaxed

Calculated values
Excess energy over the best structure of this formula in the dataset (eV/atom): 0.000

extended XYZ file:
```
10
Lattice="-1.039 7.892 1.002 -1.319 -1.168 7.827 2.953 0.320 0.545" Properties=species:S:1:pos:R:3 pbc="T T T"
Sc -0.834 4.843 1.679
Sc -0.622 0.625 3.003
Sc -1.524 1.881 7.150
Sc -1.736 6.099 5.827
Co 0.919 2.882 1.696
Co 0.096 6.560 3.996
Co -0.324 4.162 7.680
Co 0.499 0.484 5.379
K -1.179 3.362 4.415
K 0.000 0.000 0.000
```



# 27
KSc2Co | GGA-PBE | relaxed

Calculated values
Excess energy over the best structure of this formula in the dataset (eV/atom): 0.000

extended XYZ file:
```
4
Lattice="-1.930 -2.565 0.072 1.484 -1.190 -2.591 7.986 -5.917 3.320" Properties=species:S:1:pos:R:3 pbc="T T T"
Co 1.402 -3.059 0.218
Sc 4.071 -3.071 -0.244
Sc 2.148 -1.673 -1.983
K 6.138 -6.612 0.583
```



# 28
KScCo2 | GGA-PBE | relaxed

Calculated values
Excess energy over the best structure of this formula in the dataset (eV/atom): 0.176

extended XYZ file:
```
4
Lattice="-3.247 -1.385 1.156 1.790 -3.515 0.817 2.205 0.353 6.615" Properties=species:S:1:pos:R:3 pbc="T T T"
Co 2.516 -0.343 6.655
Co -1.093 -1.038 1.652
Sc 1.707 -2.924 7.258
K 1.821 -1.470 3.354
```